# 1
Material: Sc6ZnIr2
Method: DFT, GGA-PBE
State: optimized geometry

Cell and atoms, written as POSCAR:
```
Sc6ZnIr2
1.0
4.760 0.000 0.000
-2.380 4.122 0.006
0.000 -0.011 8.818
Sc Ir Zn
6 2 1
Direct
0.000 0.000 0.187
0.667 0.333 0.608
0.333 0.667 0.392
0.333 0.667 0.008
0.667 0.333 0.992
0.000 0.000 0.813
0.667 0.333 0.293
0.333 0.667 0.707
0.000 0.000 0.500
```

Crystal system: trigonal
Symmetry: P-3m1
ΔE_f: -0.540 eV/atom
Total DFT energy (no corrections): -6.87 eV/atom
Total magnetic moment: 0.00 μB per formula unit

# 2
Material: ScMnP2Cl
Method: DFT, GGA-PBE
State: optimized geometry

Cell and atoms, written as POSCAR:
```
ScMnP2Cl
1.0
-0.806 -3.507 -3.459
4.509 0.886 -1.949
1.924 -3.337 2.935
Mn Sc P Cl
1 1 2 1
Direct
0.500 0.500 0.500
0.000 0.000 0.000
0.000 0.500 0.000
0.500 0.000 0.000
0.000 0.000 0.500
```

Formation energy from raw total energies: 116 meV per atom
Crystal system: tetragonal
Symmetry: P4/mmm
Total DFT energy (no corrections): -5.52 eV/atom
Total magnetic moment: 4.56 μB per formula unit
Relative energy among the computed polymorphs: 294 meV/atom

# 3
Material: Rb2NdBiSe4
Method: DFT, GGA-PBE
State: optimized geometry

Cell and atoms, written as POSCAR:
```
Rb2NdBiSe4
1.0
4.369 0.000 0.000
0.000 7.575 0.135
0.000 -2.658 7.976
Se Rb Bi Nd
4 2 1 1
Direct
0.000 0.266 0.799
0.000 0.734 0.201
0.500 0.234 0.202
0.500 0.766 0.798
0.000 0.500 0.500
0.500 0.000 0.500
0.000 0.000 0.000
0.500 0.500 0.000
```

Formation energy from raw total energies: -1260 meV per atom
Crystal system: monoclinic
Symmetry: P2/m
Total DFT energy (no corrections): -4.32 eV/atom
Total magnetic moment: 0.00 μB per formula unit

# 4
Material: LiMnTe2
Method: DFT, GGA-PBE
State: optimized geometry

Cell and atoms, written as POSCAR:
```
LiMnTe2
1.0
-3.514 1.942 -1.284
-3.225 -3.826 3.039
0.154 2.303 3.062
Te Mn Li
2 1 1
Direct
0.500 0.500 0.000
0.000 0.000 0.000
0.000 0.500 0.500
0.500 0.000 0.500
```

Formation energy from raw total energies: -136 meV per atom
Crystal system: orthorhombic
Symmetry: Pmmm
Total DFT energy (no corrections): -4.48 eV/atom
Total magnetic moment: 4.28 μB per formula unit

# 5
Material: TbErInHg
Method: DFT, GGA-PBE
State: optimized geometry

Cell and atoms, written as POSCAR:
```
TbErInHg
1.0
5.292 0.000 0.000
2.646 4.583 0.000
2.646 1.528 4.321
Tb In Er Hg
1 1 1 1
Direct
0.000 0.000 0.000
0.250 0.250 0.250
0.500 0.500 0.500
0.750 0.750 0.750
```

Crystal system: cubic
Symmetry: F-43m
ΔE_f: -0.458 eV/atom
Total DFT energy (no corrections): -3.52 eV/atom
Total magnetic moment: 0.02 μB per formula unit

# 6
Material: NaIn2AsAu
Method: DFT, GGA-PBE
State: optimized geometry

Cell and atoms, written as POSCAR:
```
NaIn2AsAu
1.0
-3.399 0.954 -4.216
2.653 -3.113 -2.844
-3.179 -4.185 1.616
Na In Au As
1 2 1 1
Direct
0.000 0.000 0.000
0.000 0.000 0.500
0.500 0.000 0.000
0.500 0.500 0.500
0.000 0.500 0.000
```

Crystal system: tetragonal
Symmetry: P4/mmm
ΔE_f: 0.687 eV/atom
Total DFT energy (no corrections): -2.26 eV/atom
Total magnetic moment: 0.00 μB per formula unit